## CoIF3 (PBE with a Hubbard U)

Data for a relaxed CoIF3 crystal.

Summary:
- Excess energy over the best structure of this formula in the dataset: 0.000 eV/atom
- Space-group type: No. 221
- V: 74 Å³ per cell
- Crystal system: cubic

Lattice parameters (Å, degrees): 4.192 4.192 4.192 90.00 90.00 90.00
Fractional coordinates of all 5 atoms:
Co  0.000  0.000  0.000
F  0.000  0.500  0.000
F  0.000  0.000  0.500
F  0.500  0.000  0.000
I  0.500  0.500  0.500